[1]
{"formula": "KTlRe", "functional": "PBE", "state": "relaxed", "space_group": "No. 156", "rho_g_cm3": 10.6, "dft_energy_ev_per_cell": -12.63, "dos_at_fermi_per_ev_cell": 1.9, "vol_a3_per_atom": 22.5, "magmom_total_mub_per_fu": 0.0, "delta_e_f_mev_per_atom": 1095, "polymorph_energy_ev_per_atom": 0.023, "lattice_angstrom": [[3.037, 0.000, 0.000], [-1.519, 2.630, 0.000], [0.000, 0.000, 8.434]], "species": ["K", "Tl", "Re"], "frac_coords": [[0.000, 0.000, 0.000], [0.333, 0.667, 0.632], [0.667, 0.333, 0.342]]}

[2]
{"formula": "CaMgNp2O8", "functional": "PBE", "state": "relaxed", "space_group": "No. 65", "rho_g_cm3": 6.7, "dft_energy_ev_per_cell": -103.38, "dos_at_fermi_per_ev_cell": 5.7, "vol_a3_per_atom": 13.8, "magmom_total_mub_per_fu": 2.0, "lattice_angstrom": [[3.366, -3.544, 0.000], [3.366, 3.544, 0.000], [0.000, 0.000, 6.962]], "species": ["Ca", "Mg", "Np", "Np", "O", "O", "O", "O", "O", "O", "O", "O"], "frac_coords": [[0.000, 0.000, 0.000], [0.000, 0.000, 0.500], [0.500, 0.500, 0.255], [0.500, 0.500, 0.745], [0.211, 0.211, 0.268], [0.211, 0.211, 0.732], [0.314, 0.686, 0.500], [0.324, 0.676, 0.000], [0.676, 0.324, 0.000], [0.686, 0.314, 0.500], [0.789, 0.789, 0.268], [0.789, 0.789, 0.732]]}

[3]
{"formula": "Ac3RhPbF", "functional": "PBE", "state": "relaxed", "space_group": "No. 11", "rho_g_cm3": 8.5, "dft_energy_ev_per_cell": -66.35, "dos_at_fermi_per_ev_cell": 8.4, "vol_a3_per_atom": 32.9, "magmom_total_mub_per_fu": 0.0, "lattice_angstrom": [[9.660, 0.000, 0.000], [0.000, 4.349, 0.000], [-2.730, 0.000, 9.410]], "species": ["Ac", "Ac", "Ac", "Ac", "Ac", "Ac", "Rh", "Rh", "Pb", "Pb", "F", "F"], "frac_coords": [[0.053, 0.250, 0.338], [0.299, 0.250, 0.972], [0.372, 0.750, 0.631], [0.628, 0.250, 0.369], [0.701, 0.750, 0.028], [0.947, 0.750, 0.662], [0.164, 0.250, 0.657], [0.836, 0.750, 0.343], [0.314, 0.750, 0.257], [0.686, 0.250, 0.743], [0.425, 0.750, 0.917], [0.575, 0.250, 0.083]]}

[4]
{"formula": "SmYIr", "functional": "PBE", "state": "relaxed", "space_group": "No. 11", "rho_g_cm3": 8.6, "dft_energy_ev_per_cell": -43.38, "dos_at_fermi_per_ev_cell": 6.3, "vol_a3_per_atom": 27.7, "magmom_total_mub_per_fu": 0.0, "delta_e_f_mev_per_atom": -548, "polymorph_energy_ev_per_atom": 0.070, "lattice_angstrom": [[5.723, 0.000, 0.000], [0.000, 4.632, 0.000], [-1.985, 0.000, 6.271]], "species": ["Sm", "Sm", "Y", "Y", "Ir", "Ir"], "frac_coords": [[0.079, 0.250, 0.307], [0.921, 0.750, 0.693], [0.494, 0.250, 0.810], [0.506, 0.750, 0.190], [0.353, 0.750, 0.568], [0.647, 0.250, 0.432]]}